a:
Here is an optimized crystal structure of CrTcPS2 from the Alexandria database. Energies are from PBE.

magnetization: 0.2 μB per formula unit
theoretical density: 4.17 g cm⁻³

CIF file:
```
data_CrTcPS2
_chemical_formula_sum 'Cr1 Tc1 P1 S2'
_cell_length_a 4.647
_cell_length_b 4.647
_cell_length_c 4.522
_cell_angle_alpha 90.00
_cell_angle_beta 90.00
_cell_angle_gamma 90.00
_symmetry_space_group_name_H-M 'P 4/m m m'
_symmetry_Int_Tables_number 123
_symmetry_space_group_name_Hall '-P 4 2'
loop_
_atom_site_label
_atom_site_type_symbol
_atom_site_fract_x
_atom_site_fract_y
_atom_site_fract_z
_atom_site_occupancy
Cr1 Cr 0.000 0.000 0.000 1
Tc1 Tc 0.500 0.500 0.500 1
P1 P 0.500 0.500 0.000 1
S1 S 0.000 0.500 0.500 1
```

b:
Here is an optimized crystal structure of CrTcPS2 from the Alexandria database. Energies are from PBE.

magnetization: 3.3 μB per formula unit
theoretical density: 4.65 g cm⁻³

CIF file:
```
data_CrTcPS2
_chemical_formula_sum 'Cr1 Tc1 P1 S2'
_cell_length_a 4.370
_cell_length_b 4.370
_cell_length_c 4.581
_cell_angle_alpha 90.00
_cell_angle_beta 90.00
_cell_angle_gamma 90.00
_symmetry_space_group_name_H-M 'P 4/m m m'
_symmetry_Int_Tables_number 123
_symmetry_space_group_name_Hall '-P 4 2'
loop_
_atom_site_label
_atom_site_type_symbol
_atom_site_fract_x
_atom_site_fract_y
_atom_site_fract_z
_atom_site_occupancy
Cr1 Cr 0.000 0.000 0.000 1
Tc1 Tc 0.500 0.500 0.500 1
P1 P 0.000 0.000 0.500 1
S1 S 0.000 0.500 0.000 1
```

The data favor b; the next most stable structure lies 247 meV/atom above it.

a:
Here is an optimized crystal structure of TiCrPS2 from the Alexandria database. Energies are from PBE.

magnetization: 3.4 μB per formula unit
theoretical density: 3.55 g cm⁻³

CIF file:
```
data_TiCrPS2
_chemical_formula_sum 'Ti1 Cr1 P1 S2'
_cell_length_a 4.521
_cell_length_b 4.521
_cell_length_c 4.466
_cell_angle_alpha 90.00
_cell_angle_beta 90.00
_cell_angle_gamma 90.00
_symmetry_space_group_name_H-M 'P 4/m m m'
_symmetry_Int_Tables_number 123
_symmetry_space_group_name_Hall '-P 4 2'
loop_
_atom_site_label
_atom_site_type_symbol
_atom_site_fract_x
_atom_site_fract_y
_atom_site_fract_z
_atom_site_occupancy
Ti1 Ti 0.000 0.000 0.000 1
Cr1 Cr 0.500 0.500 0.500 1
P1 P 0.500 0.500 0.000 1
S1 S 0.000 0.500 0.500 1
```

b:
Here is an optimized crystal structure of TiCrPS2 from the Alexandria database. Energies are from PBE.

magnetization: 0.2 μB per formula unit
theoretical density: 3.24 g cm⁻³

CIF file:
```
data_TiCrPS2
_chemical_formula_sum 'Ti1 Cr1 P1 S2'
_cell_length_a 4.604
_cell_length_b 4.604
_cell_length_c 4.709
_cell_angle_alpha 90.00
_cell_angle_beta 90.00
_cell_angle_gamma 90.00
_symmetry_space_group_name_H-M 'P 4/m m m'
_symmetry_Int_Tables_number 123
_symmetry_space_group_name_Hall '-P 4 2'
loop_
_atom_site_label
_atom_site_type_symbol
_atom_site_fract_x
_atom_site_fract_y
_atom_site_fract_z
_atom_site_occupancy
Ti1 Ti 0.000 0.000 0.000 1
Cr1 Cr 0.500 0.500 0.500 1
P1 P 0.000 0.000 0.500 1
S1 S 0.000 0.500 0.000 1
```

The data favor a; the next most stable structure lies 406 meV/atom above it.

a:
Here is an optimized crystal structure of VCrPS2 from the Alexandria database. Energies are from PBE.

magnetization: 4.6 μB per formula unit
theoretical density: 3.62 g cm⁻³

CIF file:
```
data_VCrPS2
_chemical_formula_sum 'V1 Cr1 P1 S2'
_cell_length_a 4.512
_cell_length_b 4.512
_cell_length_c 4.458
_cell_angle_alpha 90.00
_cell_angle_beta 90.00
_cell_angle_gamma 90.00
_symmetry_space_group_name_H-M 'P 4/m m m'
_symmetry_Int_Tables_number 123
_symmetry_space_group_name_Hall '-P 4 2'
loop_
_atom_site_label
_atom_site_type_symbol
_atom_site_fract_x
_atom_site_fract_y
_atom_site_fract_z
_atom_site_occupancy
V1 V 0.000 0.000 0.000 1
Cr1 Cr 0.500 0.500 0.500 1
P1 P 0.500 0.500 0.000 1
S1 S 0.000 0.500 0.500 1
```

b:
Here is an optimized crystal structure of VCrPS2 from the Alexandria database. Energies are from PBE.

magnetization: 4.5 μB per formula unit
theoretical density: 3.47 g cm⁻³

CIF file:
```
data_VCrPS2
_chemical_formula_sum 'V1 Cr1 P1 S2'
_cell_length_a 4.532
_cell_length_b 4.532
_cell_length_c 4.619
_cell_angle_alpha 90.00
_cell_angle_beta 90.00
_cell_angle_gamma 90.00
_symmetry_space_group_name_H-M 'P 4/m m m'
_symmetry_Int_Tables_number 123
_symmetry_space_group_name_Hall '-P 4 2'
loop_
_atom_site_label
_atom_site_type_symbol
_atom_site_fract_x
_atom_site_fract_y
_atom_site_fract_z
_atom_site_occupancy
V1 V 0.000 0.000 0.000 1
Cr1 Cr 0.500 0.500 0.500 1
P1 P 0.000 0.000 0.500 1
S1 S 0.000 0.500 0.000 1
```

The data favor b; the next most stable structure lies 144 meV/atom above it.

a:
Here is an optimized crystal structure of YCrPS2 from the Alexandria database. Energies are from PBE.

magnetization: 3.0 μB per formula unit
theoretical density: 2.74 g cm⁻³

CIF file:
```
data_YCrPS2
_chemical_formula_sum 'Y1 Cr1 P1 S2'
_cell_length_a 5.180
_cell_length_b 5.180
_cell_length_c 5.322
_cell_angle_alpha 90.00
_cell_angle_beta 90.00
_cell_angle_gamma 90.00
_symmetry_space_group_name_H-M 'P 4/m m m'
_symmetry_Int_Tables_number 123
_symmetry_space_group_name_Hall '-P 4 2'
loop_
_atom_site_label
_atom_site_type_symbol
_atom_site_fract_x
_atom_site_fract_y
_atom_site_fract_z
_atom_site_occupancy
Y1 Y 0.000 0.000 0.000 1
Cr1 Cr 0.500 0.500 0.500 1
P1 P 0.000 0.000 0.500 1
S1 S 0.000 0.500 0.000 1
```

b:
Here is an optimized crystal structure of YCrPS2 from the Alexandria database. Energies are from PBE.

magnetization: 2.1 μB per formula unit
theoretical density: 4.06 g cm⁻³

CIF file:
```
data_YCrPS2
_chemical_formula_sum 'Y1 Cr1 P1 S2'
_cell_length_a 4.670
_cell_length_b 4.670
_cell_length_c 4.429
_cell_angle_alpha 90.00
_cell_angle_beta 90.00
_cell_angle_gamma 90.00
_symmetry_space_group_name_H-M 'P 4/m m m'
_symmetry_Int_Tables_number 123
_symmetry_space_group_name_Hall '-P 4 2'
loop_
_atom_site_label
_atom_site_type_symbol
_atom_site_fract_x
_atom_site_fract_y
_atom_site_fract_z
_atom_site_occupancy
Y1 Y 0.000 0.000 0.000 1
Cr1 Cr 0.500 0.500 0.500 1
P1 P 0.500 0.500 0.000 1
S1 S 0.000 0.500 0.500 1
```

The data favor b; the next most stable structure lies 849 meV/atom above it.

a:
Here is an optimized crystal structure of ZrCrPS2 from the Alexandria database. Energies are from PBE.

magnetization: 2.7 μB per formula unit
theoretical density: 4.33 g cm⁻³

CIF file:
```
data_ZrCrPS2
_chemical_formula_sum 'Zr1 Cr1 P1 S2'
_cell_length_a 4.454
_cell_length_b 4.454
_cell_length_c 4.602
_cell_angle_alpha 90.00
_cell_angle_beta 90.00
_cell_angle_gamma 90.00
_symmetry_space_group_name_H-M 'P 4/m m m'
_symmetry_Int_Tables_number 123
_symmetry_space_group_name_Hall '-P 4 2'
loop_
_atom_site_label
_atom_site_type_symbol
_atom_site_fract_x
_atom_site_fract_y
_atom_site_fract_z
_atom_site_occupancy
Zr1 Zr 0.000 0.000 0.000 1
Cr1 Cr 0.500 0.500 0.500 1
P1 P 0.500 0.500 0.000 1
S1 S 0.000 0.500 0.500 1
```

b:
Here is an optimized crystal structure of ZrCrPS2 from the Alexandria database. Energies are from PBE.

magnetization: 3.8 μB per formula unit
theoretical density: 3.19 g cm⁻³

CIF file:
```
data_ZrCrPS2
_chemical_formula_sum 'Zr1 Cr1 P1 S2'
_cell_length_a 4.936
_cell_length_b 4.936
_cell_length_c 5.096
_cell_angle_alpha 90.00
_cell_angle_beta 90.00
_cell_angle_gamma 90.00
_symmetry_space_group_name_H-M 'P 4/m m m'
_symmetry_Int_Tables_number 123
_symmetry_space_group_name_Hall '-P 4 2'
loop_
_atom_site_label
_atom_site_type_symbol
_atom_site_fract_x
_atom_site_fract_y
_atom_site_fract_z
_atom_site_occupancy
Zr1 Zr 0.000 0.000 0.000 1
Cr1 Cr 0.500 0.500 0.500 1
P1 P 0.000 0.000 0.500 1
S1 S 0.000 0.500 0.000 1
```

The data favor a; the next most stable structure lies 183 meV/atom above it.

a:
Here is an optimized crystal structure of Cr3SbP from the Alexandria database. Energies are from PBE.

magnetization: 10.5 μB per formula unit
theoretical density: 5.43 g cm⁻³

CIF file:
```
data_Cr3SbP
_chemical_formula_sum 'Cr3 Sb1 P1'
_cell_length_a 4.555
_cell_length_b 4.555
_cell_length_c 4.555
_cell_angle_alpha 90.00
_cell_angle_beta 90.00
_cell_angle_gamma 90.00
_symmetry_space_group_name_H-M 'P m -3 m'
_symmetry_Int_Tables_number 221
_symmetry_space_group_name_Hall '-P 4 2 3'
loop_
_atom_site_label
_atom_site_type_symbol
_atom_site_fract_x
_atom_site_fract_y
_atom_site_fract_z
_atom_site_occupancy
Cr1 Cr 0.000 0.000 0.500 1
Sb1 Sb 0.500 0.500 0.500 1
P1 P 0.000 0.000 0.000 1
```

b:
Here is an optimized crystal structure of Cr3SbP from the Alexandria database. Energies are from PBE.

magnetization: 12.0 μB per formula unit
theoretical density: 3.93 g cm⁻³

CIF file:
```
data_Cr3SbP
_chemical_formula_sum 'Cr3 Sb1 P1'
_cell_length_a 5.072
_cell_length_b 5.072
_cell_length_c 5.072
_cell_angle_alpha 90.00
_cell_angle_beta 90.00
_cell_angle_gamma 90.00
_symmetry_space_group_name_H-M 'P m -3 m'
_symmetry_Int_Tables_number 221
_symmetry_space_group_name_Hall '-P 4 2 3'
loop_
_atom_site_label
_atom_site_type_symbol
_atom_site_fract_x
_atom_site_fract_y
_atom_site_fract_z
_atom_site_occupancy
Cr1 Cr 0.000 0.000 0.500 1
Sb1 Sb 0.000 0.000 0.000 1
P1 P 0.500 0.500 0.500 1
```

The data favor a; the next most stable structure lies 974 meV/atom above it.